(1)
! PBE Li3AcCu8, optimized geometry; values from VASP
&SYSTEM
  ibrav = 0, nat = 12, ntyp = 3
/
ATOMIC_SPECIES
Li 6.94 Li.upf
Ac 227.00 Ac.upf
Cu 63.55 Cu.upf
CELL_PARAMETERS angstrom
5.056 0.000 0.000
-2.528 4.379 0.000
0.000 0.000 8.515
ATOMIC_POSITIONS angstrom
Li 0.000 0.000 0.000
Li 0.000 0.000 2.724
Li 0.000 2.919 7.866
Ac 0.000 2.919 4.417
Cu 1.254 0.724 6.168
Cu 2.528 0.003 1.631
Cu 1.267 2.188 1.631
Cu 2.528 1.460 3.768
Cu 2.528 1.460 8.135
Cu 3.803 0.724 6.168
Cu 2.528 2.931 6.168
Cu 3.789 2.188 1.631
! **Offset from the most stable computed form**: 0.03 eV per formula unit
! **Energy relative to the elements**: -0.06 eV per atom
! **Energy**: -43.35 eV for the cell shown
! **Fermi-level density of states**: 4.89 states/eV/cell



(2)
! PBE NiP3, optimized geometry; values from VASP
&SYSTEM
  ibrav = 0, nat = 4, ntyp = 2
/
ATOMIC_SPECIES
Ni 58.69 Ni.upf
P 30.97 P.upf
CELL_PARAMETERS angstrom
2.562 -3.296 0.000
2.562 3.296 0.000
0.000 0.000 3.144
ATOMIC_POSITIONS angstrom
Ni 0.000 0.000 0.000
P 1.281 1.648 1.572
P 1.281 -1.648 1.572
P 2.562 0.000 0.000
! **Offset from the most stable computed form**: 2.88 eV per formula unit
! **Energy relative to the elements**: 0.42 eV per atom
! **Energy**: -20.33 eV for the cell shown
! **Fermi-level density of states**: 1.42 states/eV/cell



(3)
! PBE ZnAuCl4, optimized geometry; values from VASP
&SYSTEM
  ibrav = 0, nat = 6, ntyp = 3
/
ATOMIC_SPECIES
Zn 65.41 Zn.upf
Au 196.97 Au.upf
Cl 35.45 Cl.upf
CELL_PARAMETERS angstrom
0.000 4.170 4.170
4.170 0.000 4.170
4.170 4.170 0.000
ATOMIC_POSITIONS angstrom
Zn 0.000 0.000 0.000
Au 6.255 6.255 6.255
Cl 3.129 3.129 3.129
Cl 5.211 5.211 3.129
Cl 5.211 3.129 5.211
Cl 3.129 5.211 5.211
! **Offset from the most stable computed form**: 7.94 eV per formula unit
! **Energy**: -7.48 eV for the cell shown
! **Fermi-level density of states**: 6.43 states/eV/cell



(4)
! PBE KZn3Sb, optimized geometry; values from VASP
&SYSTEM
  ibrav = 0, nat = 5, ntyp = 3
/
ATOMIC_SPECIES
K 39.10 K.upf
Zn 65.41 Zn.upf
Sb 121.76 Sb.upf
CELL_PARAMETERS angstrom
5.700 0.000 0.000
0.000 5.700 0.000
0.000 0.000 5.700
ATOMIC_POSITIONS angstrom
K 0.000 0.000 0.000
Zn 0.000 0.000 2.850
Zn 0.000 2.850 0.000
Zn 2.850 0.000 0.000
Sb 2.850 2.850 2.850
! **Offset from the most stable computed form**: 3.56 eV per formula unit
! **Energy**: -4.05 eV for the cell shown
! **Fermi-level density of states**: 6.28 states/eV/cell



(5)
! PBE LaTbSm6, optimized geometry; values from VASP
&SYSTEM
  ibrav = 0, nat = 8, ntyp = 3
/
ATOMIC_SPECIES
La 138.91 La.upf
Tb 158.93 Tb.upf
Sm 150.36 Sm.upf
CELL_PARAMETERS angstrom
4.706 -3.572 0.000
4.706 3.572 0.000
-2.227 0.000 8.838
ATOMIC_POSITIONS angstrom
La 0.000 0.000 0.000
Tb 3.592 0.000 4.419
Sm 1.074 1.693 6.169
Sm 3.338 0.000 0.674
Sm 6.110 1.693 2.668
Sm 1.074 -1.693 6.169
Sm 3.846 0.000 8.164
Sm 6.110 -1.693 2.668
! **Offset from the most stable computed form**: 2.77 eV per formula unit
! **Energy relative to the elements**: 0.37 eV per atom
! **Energy**: -34.94 eV for the cell shown
! **Fermi-level density of states**: 14.52 states/eV/cell



(6)
! PBE MgIn2Ga, optimized geometry; values from VASP
&SYSTEM
  ibrav = 0, nat = 4, ntyp = 3
/
ATOMIC_SPECIES
Mg 24.30 Mg.upf
In 114.82 In.upf
Ga 69.72 Ga.upf
CELL_PARAMETERS angstrom
4.032 -2.756 0.000
4.032 2.756 0.000
-3.518 0.000 4.270
ATOMIC_POSITIONS angstrom
Mg 0.000 0.000 0.000
In -0.608 0.000 3.186
In 5.153 0.000 1.085
Ga 2.273 0.000 2.135
! **Offset from the most stable computed form**: 0.16 eV per formula unit
! **Energy relative to the elements**: 0.01 eV per atom
! **Energy**: -10.06 eV for the cell shown
! **Fermi-level density of states**: 1.64 states/eV/cell



(7)
! PBE TlAg2Au, optimized geometry; values from VASP
&SYSTEM
  ibrav = 0, nat = 4, ntyp = 3
/
ATOMIC_SPECIES
Tl 204.38 Tl.upf
Ag 107.87 Ag.upf
Au 196.97 Au.upf
CELL_PARAMETERS angstrom
0.000 3.429 3.429
3.429 0.000 3.429
3.429 3.429 0.000
ATOMIC_POSITIONS angstrom
Tl 0.000 0.000 0.000
Ag 1.714 1.714 1.714
Ag 5.143 5.143 5.143
Au 3.429 3.429 3.429
! **Offset from the most stable computed form**: 0.10 eV per formula unit
! **Energy relative to the elements**: 0.08 eV per atom
! **Energy**: -11.01 eV for the cell shown
! **Fermi-level density of states**: 1.04 states/eV/cell



(8)
! PBE BaSiIrI2, optimized geometry; values from VASP
&SYSTEM
  ibrav = 0, nat = 5, ntyp = 4
/
ATOMIC_SPECIES
Ba 137.33 Ba.upf
Si 28.09 Si.upf
Ir 192.22 Ir.upf
I 126.90 I.upf
CELL_PARAMETERS angstrom
5.449 0.000 0.000
0.000 5.449 0.000
0.000 0.000 6.573
ATOMIC_POSITIONS angstrom
Ba 0.000 0.000 0.000
Si 0.000 0.000 3.286
Ir 2.725 2.725 0.000
I 0.000 2.725 3.286
I 2.725 0.000 3.286
! **Energy**: -15.52 eV for the cell shown
! **Fermi-level density of states**: 5.42 states/eV/cell



(9)
! PBE Mg2Sc5Os2Rh, optimized geometry; values from VASP
&SYSTEM
  ibrav = 0, nat = 20, ntyp = 4
/
ATOMIC_SPECIES
Mg 24.30 Mg.upf
Sc 44.96 Sc.upf
Os 190.23 Os.upf
Rh 102.91 Rh.upf
CELL_PARAMETERS angstrom
11.083 0.000 0.000
0.000 11.083 0.000
0.000 0.000 3.324
ATOMIC_POSITIONS angstrom
Mg 1.988 3.553 0.000
Mg 3.553 9.095 0.000
Mg 7.530 1.988 0.000
Mg 9.095 7.530 0.000
Sc 0.000 5.542 1.662
Sc 0.705 8.916 1.662
Sc 2.168 0.705 1.662
Sc 3.374 6.247 1.662
Sc 4.836 3.374 1.662
Sc 5.542 0.000 1.662
Sc 6.247 7.709 1.662
Sc 7.709 4.836 1.662
Sc 8.916 10.378 1.662
Sc 10.378 2.168 1.662
Os 1.482 7.024 0.000
Os 4.059 1.482 0.000
Os 7.024 9.601 0.000
Os 9.601 4.059 0.000
Rh 0.000 0.000 0.000
Rh 5.542 5.542 0.000
! **Energy relative to the elements**: -0.32 eV per atom
! **Energy**: -135.68 eV for the cell shown
! **Fermi-level density of states**: 12.76 states/eV/cell



> Among the records above, which one has the lowest Fermi-level density of states?

TlAg2Au